(1)
A crystal of RbBr relaxed with PBEsol, computed with SCAN.

**Space group**: Pm-3m (221)

a = 4.0688 Å, b = 4.0688 Å, c = 4.0688 Å
α = 90.00°, β = 90.00°, γ = 90.00°
With the nearest neighbours (Å) after each atom.
Fractional positions:
Rb  0.0000  0.0000  0.0000  8 Br 3.52
Br  0.5000  0.5000  0.5000  8 Rb 3.52

=====

(2)
A crystal of RbBr relaxed with PBEsol, computed with SCAN.

**Space group**: Fm-3m (225)

a = 4.8298 Å, b = 4.8298 Å, c = 4.8298 Å
α = 60.00°, β = 60.00°, γ = 60.00°
With the nearest neighbours (Å) after each atom.
Fractional positions:
Rb  0.0000  0.0000  0.0000  6 Br 3.42
Br  0.5000  0.5000  0.5000  6 Rb 3.42

=====

(3)
A crystal of RbRe3Br10 relaxed with PBEsol, computed with SCAN.

**Space group**: C2/m (12)

a = 9.1853 Å, b = 9.1853 Å, c = 10.3626 Å
α = 91.13°, β = 91.13°, γ = 71.53°
With the nearest neighbours (Å) after each atom.
Fractional positions:
Rb  0.2144  0.7856  0.0000  6 Br 3.32-3.65
Rb  0.7856  0.2144  0.0000  6 Br 3.32-3.65
Re  0.1861  0.4138  0.6258  4 Br 2.42-2.54, 2 Re 2.44-2.46
Re  0.2376  0.2376  0.8090  2 Re 2.46, 5 Br 2.47-2.70
Re  0.4138  0.1861  0.6258  4 Br 2.42-2.54, 2 Re 2.44-2.46
Re  0.5862  0.8139  0.3742  4 Br 2.42-2.54, 2 Re 2.44-2.46
Re  0.7624  0.7624  0.1910  2 Re 2.46, 5 Br 2.47-2.70
Re  0.8139  0.5862  0.3742  4 Br 2.42-2.54, 2 Re 2.44-2.46
Br  0.9997  0.3216  0.4974  1 Re 2.49
Br  0.0003  0.6784  0.5026  1 Re 2.49
Br  0.0013  0.4751  0.8137  2 Re 2.54
Br  0.0777  0.0777  0.7407  1 Re 2.47
Br  0.1589  0.1589  0.0409  1 Re 2.70
Br  0.2937  0.6099  0.7010  1 Re 2.42
Br  0.3216  0.9997  0.4974  1 Re 2.49
Br  0.3609  0.3609  0.4326  2 Re 2.53
Br  0.3703  0.3703  0.9561  1 Re 2.47
Br  0.3901  0.7063  0.2990  1 Re 2.42
Br  0.4751  0.0013  0.8137  2 Re 2.54
Br  0.5249  0.9987  0.1863  2 Re 2.54
Br  0.6099  0.2937  0.7010  1 Re 2.42
Br  0.6297  0.6297  0.0439  1 Re 2.47
Br  0.6391  0.6391  0.5674  2 Re 2.53
Br  0.6784  0.0003  0.5026  1 Re 2.49
Br  0.7063  0.3901  0.2990  1 Re 2.42
Br  0.8411  0.8411  0.9591  1 Re 2.70
Br  0.9223  0.9223  0.2593  1 Re 2.47
Br  0.9987  0.5249  0.1863  2 Re 2.54

=====

(4)
A crystal of RbRe2Br2 relaxed with PBEsol, computed with SCAN.

**Space group**: I4/mmm (139)

a = 6.2987 Å, b = 6.2987 Å, c = 6.2987 Å
α = 133.47°, β = 133.47°, γ = 67.92°
With the nearest neighbours (Å) after each atom.
Fractional positions:
Rb  0.0000  0.0000  0.0000  8 Br 3.61, 8 Re 3.67
Re  0.3996  0.3996  0.0000  1 Re 2.10
Re  0.6004  0.6004  0.0000  1 Re 2.10
Br  0.2500  0.7500  0.5000  4 Re 2.94
Br  0.7500  0.2500  0.5000  4 Re 2.94

=====

(5)
A crystal of Rb3ReBr relaxed with PBEsol, computed with SCAN.

**Space group**: Pm-3m (221)

a = 6.2734 Å, b = 6.2734 Å, c = 6.2734 Å
α = 90.00°, β = 90.00°, γ = 90.00°
With the nearest neighbours (Å) after each atom.
Fractional positions:
Rb  0.0000  0.0000  0.5000  2 Re 3.14
Rb  0.0000  0.5000  0.0000  2 Re 3.14
Rb  0.5000  0.0000  0.0000  2 Re 3.14
Re  0.0000  0.0000  0.0000  6 Rb 3.14
Br  0.5000  0.5000  0.5000  12 Rb 4.44

=====

(6)
A crystal of RbRhSe2Br relaxed with PBEsol, computed with SCAN.

**Space group**: P4/mmm (123)

a = 5.8908 Å, b = 5.8908 Å, c = 5.9321 Å
α = 90.00°, β = 90.00°, γ = 90.00°
With the nearest neighbours (Å) after each atom.
Fractional positions:
Rb  0.0000  0.0000  0.0000  4 Se 2.95, 2 Br 2.97
Rh  0.5000  0.5000  0.5000  4 Br 4.17, 8 Se 4.18
Se  0.0000  0.5000  0.0000  2 Rb 2.95
Se  0.5000  0.0000  0.0000  2 Rb 2.95
Br  0.0000  0.0000  0.5000  2 Rb 2.97

=====

| no. | formation energy from raw total energies (eV per atom) | total magnetization (μB/f.u.) |
| --- | --- | --- |
| 1 | -1.93 | 0.0 |
| 2 | -1.95 | 0.0 |
| 3 | -0.60 | 0.0 |
| 4 | 0.77 | 1.0 |
| 5 | 0.77 | 3.0 |
| 6 | 1.20 | 5.0 |